# 1
The following is a DFT calculation (PBE) of an optimized crystal structure of BiBPt3.

The density of states at the Fermi level comes out at 1.4 states/eV/f.u. The calculation puts the formation energy at 65 kJ/mol of formula units.

abc: 4.1441 5.4750 10.5666
angles: 90.00 90.00 90.00
Last column: nearest neighbours and their distance in Å.
Space group Amm2 (No. 38)
Symmetry-distinct sites (fractional):
Bi 0.0000 0.0000 0.0000 [2 per cell]  5 Pt 2.74-2.77
B 0.5000 0.0000 0.2382 [2 per cell]  4 Pt 2.06-2.08
Pt 0.0000 0.0000 0.2598 [2 per cell]  2 B 2.08
Pt 0.5000 0.2464 0.8821 [4 per cell]  1 B 2.06

***

# 2
The following is a DFT calculation (PBE) of an optimized crystal structure of MgHgRu2.

The density of states at the Fermi level comes out at 4.4 states/eV/f.u. The calculation puts the formation energy at 134 kJ/mol of formula units.

abc: 3.0440 4.6361 4.6466
angles: 90.00 90.00 90.00
Last column: nearest neighbours and their distance in Å.
Space group Pmmm (No. 47)
Symmetry-distinct sites (fractional):
Mg 0.0000 0.0000 0.0000 [1 per cell]  4 Ru 2.77, 4 Hg 2.78, 2 Mg 3.04
Hg 0.5000 0.0000 0.5000 [1 per cell]  4 Ru 2.77, 4 Mg 2.78, 2 Hg 3.04
Ru 0.0000 0.5000 0.5000 [1 per cell]  4 Hg 2.77, 6 Ru 2.78-3.04
Ru 0.5000 0.5000 0.0000 [1 per cell]  4 Mg 2.77, 6 Ru 2.78-3.04

***

# 3
The following is a DFT calculation (PBE) of an optimized crystal structure of Ca2CrSe.

For the formation energy without anion corrections, the calculation gives -0.276 eV/atom. The density of states at the Fermi level comes out at 1.3 states/eV/f.u.

abc: 4.2710 4.2710 11.4179
angles: 90.00 90.00 90.00
Last column: nearest neighbours and their distance in Å.
Space group I-4m2 (No. 119)
Symmetry-distinct sites (fractional):
Ca 0.0000 0.0000 0.0000 [2 per cell]  4 Se 3.02
Ca 0.0000 0.5000 0.2500 [2 per cell]  4 Cr 3.02
Cr 0.0000 0.5000 0.7500 [2 per cell]  4 Ca 3.02
Se 0.0000 0.0000 0.5000 [2 per cell]  4 Ca 3.02

***

# 4
The following is a DFT calculation (PBE) of an optimized crystal structure of K2P2Se.

For the formation energy without anion corrections, the calculation gives -0.241 eV/atom. The density of states at the Fermi level comes out at 3.2 states/eV/f.u.

abc: 6.4280 6.4280 7.2828
angles: 90.00 90.00 90.00
Last column: nearest neighbours and their distance in Å.
Space group I4/mmm (No. 139)
Symmetry-distinct sites (fractional):
K 0.0000 0.5000 0.2500 [4 per cell]  4 P 3.30, 2 K 3.64, 4 Se 3.69
P 0.0000 0.0000 0.1443 [4 per cell]  1 P 2.10
Se 0.0000 0.0000 0.5000 [2 per cell]  2 P 2.59

***

# 5
The following is a DFT calculation (PBE) of an optimized crystal structure of TaTl2AgS4.

For the formation energy without anion corrections, the calculation gives -0.622 eV/atom. The density of states at the Fermi level comes out at 0.0 states/eV/f.u.

abc: 8.0959 10.6244 12.9760
angles: 90.00 127.57 90.00
Last column: nearest neighbours and their distance in Å.
Space group P2_1/c (No. 14)
Symmetry-distinct sites (fractional):
Ta 0.0726 0.2246 0.4515 [4 per cell]  4 S 2.28-2.31
Tl 0.3326 0.0091 0.2237 [4 per cell]  5 S 3.08-3.44
Tl 0.3988 0.7276 0.5018 [4 per cell]  4 S 3.16-3.37
Ag 0.0867 0.0119 0.7137 [4 per cell]  4 S 2.58-2.59
S 0.1124 0.2332 0.6412 [4 per cell]  1 Ta 2.28
S 0.1839 0.0819 0.9353 [4 per cell]  1 Ta 2.31
S 0.2742 0.6880 0.2178 [4 per cell]  1 Ta 2.31
S 0.2851 0.0714 0.4659 [4 per cell]  1 Ta 2.29

***

# 6
The following is a DFT calculation (PBE) of an optimized crystal structure of CaCuAu4.

The density of states at the Fermi level comes out at 2.4 states/eV/f.u. The calculation puts the formation energy at -158 kJ/mol of formula units.

abc: 7.8466 7.8466 7.8466
angles: 90.00 90.00 90.00
Last column: nearest neighbours and their distance in Å.
Space group F-43m (No. 216)
Symmetry-distinct sites (fractional):
Ca 0.0000 0.0000 0.0000 [4 per cell]  12 Au 3.25, 4 Cu 3.40
Cu 0.2500 0.2500 0.7500 [4 per cell]  12 Au 3.25, 4 Ca 3.40
Au 0.1246 0.1246 0.3754 [16 per cell]  6 Au 2.77-2.78

***

# 7
The following is a DFT calculation (PBE) of an optimized crystal structure of NaCuCl2.

For the formation energy without anion corrections, the calculation gives -0.952 eV/atom.

abc: 3.7804 3.7804 19.2010
angles: 90.00 90.00 120.00
Last column: nearest neighbours and their distance in Å.
Space group R3m (No. 160, hexagonal axes)
Symmetry-distinct sites (fractional):
Na 0.0000 0.0000 0.0000 [3 per cell]  6 Cl 2.83-2.84
Cu 0.0000 0.0000 0.1688 [3 per cell]  6 Cl 2.57-2.60
Cl 0.0000 0.0000 0.5730 [3 per cell]  3 Cu 2.57, 3 Na 2.83
Cl 0.0000 0.0000 0.7615 [3 per cell]  3 Cu 2.60, 3 Na 2.84

***

# 8
The following is a DFT calculation (PBE) of an optimized crystal structure of BeAgN2.

For the formation energy without anion corrections, the calculation gives 0.984 eV/atom. The density of states at the Fermi level comes out at 1.9 states/eV/f.u.

abc: 2.8705 2.8705 17.4961
angles: 90.00 90.00 120.00
Last column: nearest neighbours and their distance in Å.
Space group R-3m (No. 166, hexagonal axes)
Symmetry-distinct sites (fractional):
Be 0.0000 0.0000 0.0000 [3 per cell]  6 N 1.84
Ag 0.0000 0.0000 0.5000 [3 per cell]  2 N 2.11
N 0.0000 0.0000 0.3795 [6 per cell]  3 Be 1.84

***

# 9
The following is a DFT calculation (PBE) of an optimized crystal structure of Er3Te2C.

For the formation energy without anion corrections, the calculation gives -0.953 eV/atom. The density of states at the Fermi level comes out at 1.8 states/eV/f.u.

abc: 3.8250 5.7704 13.1783
angles: 90.00 90.00 90.00
Last column: nearest neighbours and their distance in Å.
Space group Immm (No. 71)
Symmetry-distinct sites (fractional):
Er 0.0000 0.0000 0.0000 [2 per cell]  2 C 2.89, 4 Te 3.04
Er 0.0000 0.0000 0.3803 [4 per cell]  2 C 2.48
Te 0.0000 0.5000 0.3203 [4 per cell]  6 Er 2.99-3.26
C 0.0000 0.5000 0.0000 [2 per cell]  4 Er 2.48

***

# 10
The following is a DFT calculation (PBE) of an optimized crystal structure of Na3TcTe.

For the formation energy without anion corrections, the calculation gives 0.907 eV/atom. The density of states at the Fermi level comes out at 6.1 states/eV/f.u.

abc: 5.6673 5.6673 5.6673
angles: 90.00 90.00 90.00
Last column: nearest neighbours and their distance in Å.
Space group Pm-3m (No. 221)
Symmetry-distinct sites (fractional):
Na 0.0000 0.0000 0.5000 [3 per cell]  2 Tc 2.83
Tc 0.0000 0.0000 0.0000 [1 per cell]  6 Na 2.83
Te 0.5000 0.5000 0.5000 [1 per cell]  12 Na 4.01

***

# 11
The following is a DFT calculation (PBE) of an optimized crystal structure of Sm2AgAu.

The density of states at the Fermi level comes out at 2.4 states/eV/f.u. The calculation puts the formation energy at -210 kJ/mol of formula units.

abc: 3.6828 3.6828 7.4080
angles: 90.00 90.00 90.00
Last column: nearest neighbours and their distance in Å.
Space group P4/mmm (No. 123)
Symmetry-distinct sites (fractional):
Sm 0.0000 0.0000 0.2446 [2 per cell]  4 Au 3.17, 4 Ag 3.22
Ag 0.5000 0.5000 0.5000 [1 per cell]  8 Sm 3.22
Au 0.5000 0.5000 0.0000 [1 per cell]  8 Sm 3.17

***

# 12
The following is a DFT calculation (PBE) of an optimized crystal structure of Na2H6Pt.

The total DFT energy (no corrections) is -62.4 eV per cell. The density of states at the Fermi level comes out at 0.0 states/eV/f.u.

abc: 4.7498 4.7498 9.2685
angles: 90.00 90.00 90.00
Last column: nearest neighbours and their distance in Å.
Space group P4_2/mnm (No. 136)
Symmetry-distinct sites (fractional):
Na 0.0000 0.0000 0.1653 [4 per cell]  6 H 2.22-2.30
H 0.1739 0.1739 0.3753 [8 per cell]  1 Pt 1.64
H 0.2446 0.7554 0.5000 [4 per cell]  1 Pt 1.64
Pt 0.0000 0.0000 0.5000 [2 per cell]  6 H 1.64

***

# 13
The following is a DFT calculation (PBE) of an optimized crystal structure of NaNb2Te3.

For the formation energy without anion corrections, the calculation gives -0.410 eV/atom. The density of states at the Fermi level comes out at 3.2 states/eV/f.u.

abc: 22.0438 3.7447 8.8316
angles: 90.00 110.40 90.00
Last column: nearest neighbours and their distance in Å.
Space group C2/m (No. 12)
Symmetry-distinct sites (fractional):
Na 0.1510 0.0000 0.4404 [4 per cell]  6 Te 3.15-3.42
Nb 0.0935 0.5000 0.9490 [4 per cell]  5 Te 2.80-2.97, 2 Nb 2.90
Nb 0.1969 0.0000 0.9714 [4 per cell]  4 Te 2.78-2.89, 4 Nb 2.90
Te 0.0454 0.5000 0.2038 [4 per cell]  2 Nb 2.80-2.88
Te 0.0838 0.0000 0.7031 [4 per cell]  3 Nb 2.78-2.82
Te 0.2201 0.5000 0.2195 [4 per cell]  4 Nb 2.79-2.97

***

# 14
The following is a DFT calculation (PBE) of an optimized crystal structure of Ba2GaCl.

For the formation energy without anion corrections, the calculation gives -0.888 eV/atom. The density of states at the Fermi level comes out at 0.0 states/eV/f.u.

abc: 8.4247 8.4247 9.6541
angles: 90.00 90.00 90.00
Last column: nearest neighbours and their distance in Å.
Space group I-42d (No. 122)
Symmetry-distinct sites (fractional):
Ba 0.2342 0.7500 0.1250 [8 per cell]  2 Cl 3.13, 2 Ga 3.30
Ga 0.0000 0.0000 0.5000 [4 per cell]  4 Ba 3.30
Cl 0.0000 0.0000 0.0000 [4 per cell]  4 Ba 3.13

***

# 15
The following is a DFT calculation (PBE) of an optimized crystal structure of PmNd3Rh2.

The density of states at the Fermi level comes out at 6.1 states/eV/f.u. The calculation puts the formation energy at -283 kJ/mol of formula units.

abc: 16.7927 4.2693 11.6996
angles: 90.00 120.68 90.00
Last column: nearest neighbours and their distance in Å.
Space group C2/m (No. 12)
Symmetry-distinct sites (fractional):
Pm 0.0636 0.0000 0.1853 [4 per cell]  3 Rh 2.83-2.84
Nd 0.0611 0.5000 0.6904 [4 per cell]  3 Rh 2.85-2.86
Nd 0.1844 0.0000 0.5583 [4 per cell]  3 Rh 2.85-2.86
Nd 0.1896 0.5000 0.0661 [4 per cell]  3 Rh 2.85-2.86
Rh 0.1237 0.0000 0.8788 [4 per cell]  1 Pm 2.84, 5 Nd 2.85-2.86
Rh 0.1262 0.5000 0.3701 [4 per cell]  2 Pm 2.83, 4 Nd 2.85-2.86

***

# 16
The following is a DFT calculation (PBE) of an optimized crystal structure of In5Hg3Bi12.

The density of states at the Fermi level comes out at 9.3 states/eV/f.u. The calculation puts the formation energy at 470 kJ/mol of formula units.

abc: 18.4315 18.4315 18.4315
angles: 90.00 90.00 90.00
Last column: nearest neighbours and their distance in Å.
Space group Ia-3d (No. 230)
Symmetry-distinct sites (fractional):
In 0.0000 0.0000 0.0000 [16 per cell]  6 Bi 3.20
In 0.0000 0.2500 0.3750 [24 per cell]  4 Bi 3.03
Hg 0.0000 0.2500 0.1250 [24 per cell]  4 Bi 3.00
Bi 0.0013 0.0600 0.1630 [96 per cell]  1 Hg 3.00, 2 In 3.03-3.20, 1 Bi 3.28

***

# 17
The following is a DFT calculation (PBE) of an optimized crystal structure of HAuO2.

The total DFT energy (no corrections) is -36.2 eV per cell.

abc: 7.8490 3.1065 4.5321
angles: 90.00 97.60 90.00
Last column: nearest neighbours and their distance in Å.
Space group C2/m (No. 12)
Symmetry-distinct sites (fractional):
H 0.0000 0.0000 0.0000 [2 per cell]  2 O 1.21
Au 0.0000 0.5000 0.5000 [2 per cell]  4 O 2.04
O 0.0722 0.0000 0.2535 [4 per cell]  1 H 1.21

***

# 18
The following is a DFT calculation (PBE) of an optimized crystal structure of PrTm2Ag.

The density of states at the Fermi level comes out at 5.2 states/eV/f.u. The calculation puts the formation energy at -5 kJ/mol of formula units.

abc: 3.5851 3.5851 31.1948
angles: 90.00 90.00 120.00
Last column: nearest neighbours and their distance in Å.
Space group R-3m (No. 166, hexagonal axes)
Symmetry-distinct sites (fractional):
Pr 0.0000 0.0000 0.0000 [3 per cell]  6 Pr 3.59, 6 Tm 3.59
Tm 0.0000 0.0000 0.2392 [6 per cell]  3 Ag 3.07
Ag 0.0000 0.0000 0.5000 [3 per cell]  6 Tm 3.07

***

# 19
The following is a DFT calculation (PBE) of an optimized crystal structure of Er3Ga2Pd.

The density of states at the Fermi level comes out at 5.0 states/eV/f.u. The calculation puts the formation energy at -389 kJ/mol of formula units.

abc: 11.5542 4.4008 10.9252
angles: 90.00 90.00 90.00
Last column: nearest neighbours and their distance in Å.
Space group Pnma (No. 62)
Symmetry-distinct sites (fractional):
Er 0.0467 0.2500 0.1287 [4 per cell]  1 Pd 2.94, 5 Ga 2.97-3.15
Er 0.1233 0.7500 0.5692 [4 per cell]  3 Pd 2.91-2.98, 5 Ga 3.04-3.15
Er 0.2173 0.2500 0.8144 [4 per cell]  2 Pd 2.96, 4 Ga 3.01-3.17
Ga 0.0159 0.7500 0.3077 [4 per cell]  2 Pd 2.67, 2 Er 2.97
Ga 0.1866 0.7500 0.0208 [4 per cell]  1 Pd 2.64
Pd 0.1250 0.2500 0.3846 [4 per cell]  3 Ga 2.64-2.67, 2 Er 2.91-2.94

***

# 20
The following is a DFT calculation (PBE) of an optimized crystal structure of Nd3HfN4.

For the formation energy without anion corrections, the calculation gives -1.377 eV/atom. The density of states at the Fermi level comes out at 2.5 states/eV/f.u.

abc: 7.1877 7.1877 8.7822
angles: 90.00 90.00 120.00
Last column: nearest neighbours and their distance in Å.
Space group R3m (No. 160, hexagonal axes)
Symmetry-distinct sites (fractional):
Nd 0.9997 0.4999 0.0000 [9 per cell]  6 N 2.50-2.58
Hf 0.0000 0.0000 0.0314 [3 per cell]  3 N 2.08
N 0.0000 0.0000 0.5070 [3 per cell]  6 Nd 2.50-2.58
N 0.1874 0.3749 0.8131 [9 per cell]  1 Hf 2.08